[1]
{"formula": "LiTc2Sb", "functional": "GGA-PBE", "state": "optimized geometry", "lattice": [[4.4887, -1.5625, 0.0000], [4.4887, 1.5625, 0.0000], [-0.8736, 0.0000, 4.5669]], "species": ["Li", "Tc", "Tc", "Sb"], "frac_coords": [[0.0000, 0.0000, 0.0000], [0.2515, 0.2515, 0.7912], [0.7485, 0.7485, 0.2088], [0.5000, 0.5000, 0.5000]], "formation_energy_uncorrected_ev_per_atom": 0.23}


[2]
{"formula": "Er2Si4IrPt3", "functional": "GGA-PBE", "state": "optimized geometry", "lattice": [[4.0858, 0.0000, 0.0000], [0.0000, 4.0858, 0.0000], [0.0000, 0.0000, 10.1444]], "species": ["Er", "Er", "Si", "Si", "Si", "Si", "Ir", "Pt", "Pt", "Pt"], "frac_coords": [[0.0000, 0.5000, 0.2505], [0.5000, 0.0000, 0.7495], [0.0000, 0.0000, 0.0000], [0.0000, 0.5000, 0.6363], [0.5000, 0.0000, 0.3637], [0.5000, 0.5000, 0.0000], [0.0000, 0.0000, 0.5000], [0.0000, 0.5000, 0.8710], [0.5000, 0.0000, 0.1290], [0.5000, 0.5000, 0.5000]], "formation_energy_uncorrected_ev_per_atom": -1.08}


[3]
{"formula": "ThFeC", "functional": "GGA-PBE", "state": "optimized geometry", "lattice": [[5.3616, 0.0000, 0.0000], [0.0000, 3.5223, 0.0000], [-2.4903, 0.0000, 5.0240]], "species": ["Th", "Th", "Fe", "Fe", "C", "C"], "frac_coords": [[0.1814, 0.2500, 0.3272], [0.8186, 0.7500, 0.6728], [0.3354, 0.2500, 0.8922], [0.6646, 0.7500, 0.1078], [0.3452, 0.7500, 0.7439], [0.6548, 0.2500, 0.2561]], "de_polymorph_mev_per_atom": 0}


[4]
{"formula": "KCaNpI6", "functional": "GGA-PBE", "state": "optimized geometry", "lattice": [[8.0717, 0.0000, 0.0000], [-4.0359, 6.9903, 0.0000], [0.0000, 0.0000, 15.6037]], "species": ["K", "K", "Ca", "Ca", "Np", "Np", "I", "I", "I", "I", "I", "I", "I", "I", "I", "I", "I", "I"], "frac_coords": [[0.0000, 0.0000, 0.0000], [0.0000, 0.0000, 0.5000], [0.3333, 0.6667, 0.2500], [0.6667, 0.3333, 0.7500], [0.3333, 0.6667, 0.7500], [0.6667, 0.3333, 0.2500], [0.0024, 0.3655, 0.6351], [0.0024, 0.6369, 0.8649], [0.3631, 0.3655, 0.8649], [0.3631, 0.9976, 0.6351], [0.3655, 0.0024, 0.1351], [0.3655, 0.3631, 0.3649], [0.6345, 0.6369, 0.6351], [0.6345, 0.9976, 0.8649], [0.6369, 0.0024, 0.3649], [0.6369, 0.6345, 0.1351], [0.9976, 0.3631, 0.1351], [0.9976, 0.6345, 0.3649]], "formation_energy_uncorrected_ev_per_atom": -1.25}


The records above yield E_tot values of -25.9 -68.6 -51.2 -73.1 eV for the cell shown, respectively.